# AcNd5Sm5 GGA-PBE optimized geometry
data_AcNd5Sm5
_chemical_formula_sum 'Ac1 Nd5 Sm5'
_cell_length_a 5.9977
_cell_length_b 9.2459
_cell_length_c 7.6004
_cell_angle_alpha 90.02
_cell_angle_beta 90.00
_cell_angle_gamma 108.93
_space_group_name_H-M_alt 'P 1'
_space_group_IT_number 1
_space_group_name_Hall 'P 1'
loop_
_atom_site_label
_atom_site_fract_x
_atom_site_fract_y
_atom_site_fract_z
_atom_site_occupancy
Sm1 0.6223 0.2445 0.7144 1
Sm2 0.0000 0.0000 0.5000 1
Sm3 0.3777 0.7555 0.2856 1
Sm4 0.3777 0.7554 0.7146 1
Sm5 0.6223 0.2446 0.2854 1
Nd1 0.8028 0.6057 0.0004 1
Nd2 0.5000 0.0000 0.0000 1
Nd3 0.1979 0.3959 0.4997 1
Nd4 0.1972 0.3943 0.9996 1
Nd5 0.8021 0.6041 0.5003 1
Ac1 0.0000 0.0000 0.0000 1
# Magnetic moment (μB per formula unit): 0.23
# Space-group type: Cmmm, No. 65
# Density of states at the Fermi level (states/eV/cell): 12.46
# E above lowest polymorph (meV per atom): 0
# ΔH_f (0 K) (eV/atom): 0.24